(1)
GGA-PBE SrAcCd2, optimized geometry; formation energy from the elements = -0.329 eV/atom
1.0
0.000 4.063 4.063
4.063 0.000 4.063
4.063 4.063 0.000
Sr Ac Cd
1 1 2
Cartesian
0.000 0.000 0.000
4.063 4.063 4.063
2.032 2.032 2.032
6.095 6.095 6.095

(2)
GGA-PBE SrAcCd3, optimized geometry; formation energy from the elements = -0.303 eV/atom; ΔE to the lowest computed polymorph = 8.1 meV/atom
1.0
2.025 -15.416 0.000
2.025 15.416 0.000
0.000 0.000 5.111
Sr Ac Cd
2 2 6
Cartesian
2.025 13.185 3.833
2.025 -13.185 1.278
2.025 8.932 1.278
2.025 -8.932 3.833
2.025 5.259 1.278
2.025 3.639 3.833
2.025 0.726 3.833
2.025 -0.726 1.278
2.025 -3.639 1.278
2.025 -5.259 3.833

(3)
GGA-PBE Sr2Ac3Cd2, optimized geometry; formation energy from the elements = -0.159 eV/atom
1.0
2.031 -17.403 0.000
2.031 17.403 0.000
0.000 0.000 4.019
Sr Ac Cd
2 3 2
Cartesian
2.031 10.578 0.000
2.031 -10.578 0.000
2.031 14.621 0.000
2.031 0.000 2.009
2.031 -14.621 0.000
2.031 4.834 2.009
2.031 -4.834 2.009

(4)
GGA-PBE Sr2AcCd2, optimized geometry; formation energy from the elements = -0.140 eV/atom; ΔE to the lowest computed polymorph = 83.7 meV/atom
1.0
7.016 0.000 0.000
0.000 4.250 0.000
-1.792 0.000 13.626
Sr Ac Cd
4 2 4
Cartesian
-0.246 1.063 4.933
-0.010 3.188 12.769
5.234 1.063 0.856
5.471 3.188 8.693
2.051 1.063 9.646
3.173 3.188 3.980
1.576 1.063 1.852
1.513 3.188 7.024
3.712 1.063 6.601
3.648 3.188 11.774

(5)
GGA-PBE SrAcCd, optimized geometry; formation energy from the elements = -0.030 eV/atom; ΔE to the lowest computed polymorph = 156.9 meV/atom
1.0
5.721 0.000 0.000
-2.861 4.955 0.000
0.000 0.000 4.103
Sr Ac Cd
1 1 1
Cartesian
0.000 0.000 0.000
2.861 1.652 2.201
0.000 3.303 0.947

(6)
GGA-PBE SrAcTlCd, optimized geometry; formation energy from the elements = -0.380 eV/atom
1.0
0.000 4.093 4.093
4.093 0.000 4.093
4.093 4.093 0.000
Sr Ac Tl Cd
1 1 1 1
Cartesian
0.000 0.000 0.000
4.093 4.093 4.093
2.046 2.046 2.046
6.139 6.139 6.139

(7)
GGA-PBE SrAc2Tl2Cd2, optimized geometry; formation energy from the elements = -0.220 eV/atom
1.0
2.590 1.495 10.397
-2.590 1.495 10.397
0.000 -2.990 10.397
Sr Ac Tl Cd
1 2 2 2
Cartesian
0.000 0.000 0.000
0.000 0.000 3.923
0.000 0.000 27.269
0.000 0.000 8.086
0.000 0.000 23.106
0.000 0.000 12.427
0.000 0.000 18.765

(8)
GGA-PBE SrAcZnCd, optimized geometry; formation energy from the elements = -0.268 eV/atom; ΔE to the lowest computed polymorph = 0.0 meV/atom
1.0
0.000 3.989 3.989
3.989 0.000 3.989
3.989 3.989 0.000
Sr Ac Zn Cd
1 1 1 1
Cartesian
0.000 0.000 0.000
3.989 3.989 3.989
5.984 5.984 5.984
1.995 1.995 1.995

Number 1: magnetization 0.00 Bohr magnetons per cell. Number 2: magnetization 0.00 Bohr magnetons per cell. Number 3: magnetization 0.00 Bohr magnetons per cell. Number 4: magnetization 0.00 Bohr magnetons per cell. Number 5: magnetization 0.00 Bohr magnetons per cell. Number 6: magnetization 0.00 Bohr magnetons per cell. Number 7: magnetization 0.00 Bohr magnetons per cell. Number 8: magnetization 0.00 Bohr magnetons per cell.